Entry from Alexandria via LeMat-Bulk: a geometry-optimized Hf6TaBi2 structure (GGA-PBE).

POSCAR file:
```
Hf6TaBi2
1.0
5.574 0.000 0.000
0.000 7.972 0.000
-5.290 0.000 9.442
Hf Ta Bi
12 2 4
direct
0.076 0.063 0.222
0.076 0.437 0.722
0.128 0.710 0.049
0.128 0.790 0.549
0.418 0.161 0.026
0.418 0.339 0.526
0.582 0.661 0.474
0.582 0.839 0.974
0.872 0.210 0.451
0.872 0.290 0.951
0.924 0.563 0.278
0.924 0.937 0.778
0.500 0.000 0.500
0.500 0.500 0.000
0.371 0.098 0.733
0.371 0.402 0.233
0.629 0.598 0.767
0.629 0.902 0.267
```

SG: P2_1/c
ΔH_f (0 K): 0.1786 eV/atom
VASP energy: -155.5 eV for the cell shown